w | Here is an optimized crystal structure of Tb6Pm3Y from Alexandria. Energies are from GGA-PBE.

The structure in CIF format:
```
data_Tb6Pm3Y
_chemical_formula_sum 'Tb12 Pm6 Y2'
_symmetry_space_group_name_H-M 'C 1 2/m 1'
_symmetry_Int_Tables_number 12
_cell_length_a 11.5801
_cell_length_b 6.6310
_cell_length_c 9.7008
_cell_angle_alpha 90.00
_cell_angle_beta 114.57
_cell_angle_gamma 90.00
loop_
_symmetry_equiv_pos_as_xyz
'x,y,z'
'-x,-y,-z'
'-x,y,-z'
'x,-y,z'
'x+1/2,y+1/2,z'
'-x+1/2,-y+1/2,-z'
'-x+1/2,y+1/2,-z'
'x+1/2,-y+1/2,z'
loop_
_atom_site_label
_atom_site_type_symbol
_atom_site_fract_x
_atom_site_fract_y
_atom_site_fract_z
Tb1 Tb 0.1382 0.0000 0.4225
Tb2 Tb 0.1861 0.2457 0.8106
Pm1 Pm 0.0000 0.5000 0.5000
Pm2 Pm 0.0691 0.5000 0.1984
Y1 Y 0.0000 0.0000 0.0000
```

x | Here is an optimized crystal structure of Tb6Pm3Y from Alexandria. Energies are from GGA-PBE.

The structure in CIF format:
```
data_Tb6Pm3Y
_chemical_formula_sum 'Tb24 Pm12 Y4'
_symmetry_space_group_name_H-M 'C m c 21'
_symmetry_Int_Tables_number 36
_cell_length_a 10.8807
_cell_length_b 18.9455
_cell_length_c 6.4291
_cell_angle_alpha 90.00
_cell_angle_beta 90.00
_cell_angle_gamma 90.00
loop_
_symmetry_equiv_pos_as_xyz
'x,y,z'
'-x,-y,z+1/2'
'-x,y,z'
'x,-y,z+1/2'
'x+1/2,y+1/2,z'
'-x+1/2,-y+1/2,z+1/2'
'-x+1/2,y+1/2,z'
'x+1/2,-y+1/2,z+1/2'
loop_
_atom_site_label
_atom_site_type_symbol
_atom_site_fract_x
_atom_site_fract_y
_atom_site_fract_z
Tb1 Tb 0.0000 0.0339 0.0000
Tb2 Tb 0.0000 0.2723 0.2002
Tb3 Tb 0.1702 0.4549 0.3021
Tb4 Tb 0.2339 0.2897 0.4883
Pm1 Pm 0.0000 0.3872 0.7775
Pm2 Pm 0.1771 0.1148 0.3865
Y1 Y 0.0000 0.1888 0.7338
```

Relative to the most stable one, in meV/atom, the structures come out at w 73; x 0.

w | Here is an optimized crystal structure of Tb3PmY2 from Alexandria. Energies are from GGA-PBE.

The structure in CIF format:
```
data_Tb3PmY2
_chemical_formula_sum 'Tb12 Pm4 Y8'
_symmetry_space_group_name_H-M 'C m c m'
_symmetry_Int_Tables_number 63
_symmetry_space_group_name_Hall '-C 2c 2'
_cell_length_a 10.7676
_cell_length_b 10.9371
_cell_length_c 6.6460
_cell_angle_alpha 90.00
_cell_angle_beta 90.00
_cell_angle_gamma 90.00
loop_
_atom_site_label
_atom_site_type_symbol
_atom_site_fract_x
_atom_site_fract_y
_atom_site_fract_z
Tb1 Tb 0.0000 0.0960 0.2500
Tb2 Tb 0.2495 0.0000 0.0000
Pm1 Pm 0.0000 0.3970 0.2500
Y1 Y 0.1583 0.2489 0.7500
```

x | Here is an optimized crystal structure of Tb3PmY2 from Alexandria. Energies are from GGA-PBE.

The structure in CIF format:
```
data_Tb3PmY2
_chemical_formula_sum 'Tb6 Pm2 Y4'
_symmetry_space_group_name_H-M 'P -1'
_symmetry_Int_Tables_number 2
_cell_length_a 7.2096
_cell_length_b 7.2173
_cell_length_c 8.8920
_cell_angle_alpha 78.23
_cell_angle_beta 78.30
_cell_angle_gamma 60.05
loop_
_symmetry_equiv_pos_as_xyz
'x,y,z'
'-x,-y,-z'
loop_
_atom_site_label
_atom_site_type_symbol
_atom_site_fract_x
_atom_site_fract_y
_atom_site_fract_z
Tb1 Tb 0.1395 0.1381 0.1661
Tb2 Tb 0.2495 0.7507 0.5006
Tb3 Tb 0.3603 0.8618 0.8346
Pm1 Pm 0.2506 0.2495 0.4992
Y1 Y 0.1393 0.6395 0.1648
Y2 Y 0.3610 0.3610 0.8344
```

Relative to the most stable one, in meV/atom, the structures come out at w 225; x 0.

w | Here is an optimized crystal structure of Tb4Pm4Y from Alexandria. Energies are from GGA-PBE.

The structure in CIF format:
```
data_Tb4Pm4Y
_chemical_formula_sum 'Tb8 Pm8 Y2'
_symmetry_space_group_name_H-M 'I 4/m m m'
_symmetry_Int_Tables_number 139
_symmetry_space_group_name_Hall '-I 4 2'
_cell_length_a 10.8174
_cell_length_b 10.8174
_cell_length_c 5.0922
_cell_angle_alpha 90.00
_cell_angle_beta 90.00
_cell_angle_gamma 90.00
loop_
_atom_site_label
_atom_site_type_symbol
_atom_site_fract_x
_atom_site_fract_y
_atom_site_fract_z
Tb1 Tb 0.1665 0.1665 0.0000
Pm1 Pm 0.0000 0.3320 0.5000
Y1 Y 0.0000 0.0000 0.5000
```

x | Here is an optimized crystal structure of Tb4Pm4Y from Alexandria. Energies are from GGA-PBE.

The structure in CIF format:
```
data_Tb4Pm4Y
_chemical_formula_sum 'Tb8 Pm8 Y2'
_symmetry_space_group_name_H-M 'C 1 2/m 1'
_symmetry_Int_Tables_number 12
_cell_length_a 16.9921
_cell_length_b 5.6440
_cell_length_c 6.8158
_cell_angle_alpha 90.00
_cell_angle_beta 113.07
_cell_angle_gamma 90.00
loop_
_symmetry_equiv_pos_as_xyz
'x,y,z'
'-x,-y,-z'
'-x,y,-z'
'x,-y,z'
'x+1/2,y+1/2,z'
'-x+1/2,-y+1/2,-z'
'-x+1/2,y+1/2,-z'
'x+1/2,-y+1/2,z'
loop_
_atom_site_label
_atom_site_type_symbol
_atom_site_fract_x
_atom_site_fract_y
_atom_site_fract_z
Tb1 Tb 0.0735 0.0000 0.3798
Tb2 Tb 0.1282 0.5000 0.6817
Pm1 Pm 0.1330 0.0000 0.9606
Pm2 Pm 0.2188 0.5000 0.2862
Y1 Y 0.0000 0.5000 0.0000
```

Relative to the most stable one, in meV/atom, the structures come out at w 0; x 85.

w | Here is an optimized crystal structure of Tb7Pm2Y2 from Alexandria. Energies are from GGA-PBE.

The structure in CIF format:
```
data_Tb7Pm2Y2
_chemical_formula_sum 'Tb7 Pm2 Y2'
_symmetry_space_group_name_H-M 'P -1'
_symmetry_Int_Tables_number 2
_cell_length_a 6.5872
_cell_length_b 6.7153
_cell_length_c 8.9583
_cell_angle_alpha 110.98
_cell_angle_beta 99.07
_cell_angle_gamma 95.64
loop_
_symmetry_equiv_pos_as_xyz
'x,y,z'
'-x,-y,-z'
loop_
_atom_site_label
_atom_site_type_symbol
_atom_site_fract_x
_atom_site_fract_y
_atom_site_fract_z
Tb1 Tb 0.0000 0.0000 0.0000
Tb2 Tb 0.1057 0.4201 0.8304
Tb3 Tb 0.3833 0.4313 0.2163
Tb4 Tb 0.4979 0.1192 0.8614
Pm1 Pm 0.2143 0.6773 0.5723
Y1 Y 0.2531 0.1135 0.4516
```

x | Here is an optimized crystal structure of Tb7Pm2Y2 from Alexandria. Energies are from GGA-PBE.

The structure in CIF format:
```
data_Tb7Pm2Y2
_chemical_formula_sum 'Tb14 Pm4 Y4'
_symmetry_space_group_name_H-M 'C 1 2/m 1'
_symmetry_Int_Tables_number 12
_cell_length_a 11.3912
_cell_length_b 11.4626
_cell_length_c 6.0764
_cell_angle_alpha 90.00
_cell_angle_beta 113.38
_cell_angle_gamma 90.00
loop_
_symmetry_equiv_pos_as_xyz
'x,y,z'
'-x,-y,-z'
'-x,y,-z'
'x,-y,z'
'x+1/2,y+1/2,z'
'-x+1/2,-y+1/2,-z'
'-x+1/2,y+1/2,-z'
'x+1/2,-y+1/2,z'
loop_
_atom_site_label
_atom_site_type_symbol
_atom_site_fract_x
_atom_site_fract_y
_atom_site_fract_z
Tb1 Tb 0.0000 0.0000 0.0000
Tb2 Tb 0.0863 0.5000 0.8028
Tb3 Tb 0.1755 0.2342 0.1741
Pm1 Pm 0.2330 0.0000 0.5902
Y1 Y 0.0000 0.2170 0.5000
```

Relative to the most stable one, in meV/atom, the structures come out at w 0; x 74.